Density functional theory data (GGA-PBE) for a geometry-optimized AcTb2Pm2Pr2 structure.

Geometry as CIF:
```
data_AcTb2Pm2Pr2
_chemical_formula_sum 'Ac1 Tb2 Pm2 Pr2'
_cell_length_a 6.398
_cell_length_b 6.398
_cell_length_c 8.275
_cell_angle_alpha 97.37
_cell_angle_beta 97.37
_cell_angle_gamma 48.06
_symmetry_space_group_name_H-M 'P 1'
_symmetry_Int_Tables_number 1
_symmetry_space_group_name_Hall 'P 1'
loop_
_atom_site_label
_atom_site_type_symbol
_atom_site_fract_x
_atom_site_fract_y
_atom_site_fract_z
Ac1 Ac 0.000 0.000 0.000
Tb1 Tb 0.426 0.426 0.293
Tb2 Tb 0.574 0.574 0.707
Pm1 Pm 0.141 0.141 0.432
Pm2 Pm 0.859 0.859 0.568
Pr1 Pr 0.285 0.285 0.851
Pr2 Pr 0.715 0.715 0.149
```

## Properties
Energy of formation ... 0.2 eV/f.u.
Space group ... No. 12


Density functional theory data (GGA-PBE) for a geometry-optimized TiCdOs3 structure.

Geometry as CIF:
```
data_TiCdOs3
_chemical_formula_sum 'Ti1 Cd1 Os3'
_cell_length_a 4.587
_cell_length_b 4.587
_cell_length_c 4.587
_cell_angle_alpha 90.00
_cell_angle_beta 90.00
_cell_angle_gamma 90.00
_symmetry_space_group_name_H-M 'P 1'
_symmetry_Int_Tables_number 1
_symmetry_space_group_name_Hall 'P 1'
loop_
_atom_site_label
_atom_site_type_symbol
_atom_site_fract_x
_atom_site_fract_y
_atom_site_fract_z
Ti1 Ti 0.000 0.000 0.000
Cd1 Cd 0.500 0.500 0.500
Os1 Os 0.000 0.000 0.500
Os2 Os 0.000 0.500 0.000
Os3 Os 0.500 0.000 0.000
```

## Properties
Offset from the most stable computed form ... 0.00 kJ/mol of atoms
Energy of formation ... 8.3 eV/f.u.
Space group ... No. 221


Density functional theory data (GGA-PBE) for a geometry-optimized AlVGe2 structure.

Geometry as CIF:
```
data_AlVGe2
_chemical_formula_sum 'Al2 V2 Ge4'
_cell_length_a 6.837
_cell_length_b 6.837
_cell_length_c 6.837
_cell_angle_alpha 129.01
_cell_angle_beta 129.01
_cell_angle_gamma 74.99
_symmetry_space_group_name_H-M 'P 1'
_symmetry_Int_Tables_number 1
_symmetry_space_group_name_Hall 'P 1'
loop_
_atom_site_label
_atom_site_type_symbol
_atom_site_fract_x
_atom_site_fract_y
_atom_site_fract_z
Al1 Al 0.000 0.000 0.000
Al2 Al 0.750 0.250 0.500
V1 V 0.250 0.750 0.500
V2 V 0.500 0.500 0.000
Ge1 Ge 0.140 0.625 0.015
Ge2 Ge 0.375 0.390 0.515
Ge3 Ge 0.610 0.125 0.985
Ge4 Ge 0.875 0.860 0.485
```

## Properties
Energy of formation ... 2.3 eV/f.u.
Space group ... No. 122


Density functional theory data (GGA-PBE) for a geometry-optimized CeGaAgPd structure.

Geometry as CIF:
```
data_CeGaAgPd
_chemical_formula_sum 'Ce1 Ga1 Ag1 Pd1'
_cell_length_a 4.849
_cell_length_b 4.849
_cell_length_c 4.849
_cell_angle_alpha 60.00
_cell_angle_beta 60.00
_cell_angle_gamma 60.00
_symmetry_space_group_name_H-M 'P 1'
_symmetry_Int_Tables_number 1
_symmetry_space_group_name_Hall 'P 1'
loop_
_atom_site_label
_atom_site_type_symbol
_atom_site_fract_x
_atom_site_fract_y
_atom_site_fract_z
Ce1 Ce 0.000 0.000 0.000
Ga1 Ga 0.500 0.500 0.500
Ag1 Ag 0.750 0.750 0.750
Pd1 Pd 0.250 0.250 0.250
```

## Properties
Energy of formation ... -1.6 eV/f.u.
Space group ... No. 216


Density functional theory data (GGA-PBE) for a geometry-optimized Sr2HfCl8 structure.

Geometry as CIF:
```
data_Sr2HfCl8
_chemical_formula_sum 'Sr2 Hf1 Cl8'
_cell_length_a 7.654
_cell_length_b 7.654
_cell_length_c 5.935
_cell_angle_alpha 98.35
_cell_angle_beta 98.35
_cell_angle_gamma 76.05
_symmetry_space_group_name_H-M 'P 1'
_symmetry_Int_Tables_number 1
_symmetry_space_group_name_Hall 'P 1'
loop_
_atom_site_label
_atom_site_type_symbol
_atom_site_fract_x
_atom_site_fract_y
_atom_site_fract_z
Sr1 Sr 0.148 0.148 0.329
Sr2 Sr 0.852 0.852 0.671
Hf1 Hf 0.500 0.500 0.500
Cl1 Cl 0.094 0.094 0.794
Cl2 Cl 0.201 0.563 0.644
Cl3 Cl 0.362 0.362 0.145
Cl4 Cl 0.437 0.799 0.356
Cl5 Cl 0.563 0.201 0.644
Cl6 Cl 0.638 0.638 0.855
Cl7 Cl 0.799 0.437 0.356
Cl8 Cl 0.906 0.906 0.206
```

## Properties
Uncorrected formation energy ... -2.156 eV/atom
Space group ... No. 12


Density functional theory data (GGA-PBE) for a geometry-optimized TbPm2IrO8 structure.

Geometry as CIF:
```
data_TbPm2IrO8
_chemical_formula_sum 'Tb1 Pm2 Ir1 O8'
_cell_length_a 5.145
_cell_length_b 6.915
_cell_length_c 5.151
_cell_angle_alpha 90.00
_cell_angle_beta 90.57
_cell_angle_gamma 90.00
_symmetry_space_group_name_H-M 'P 1'
_symmetry_Int_Tables_number 1
_symmetry_space_group_name_Hall 'P 1'
loop_
_atom_site_label
_atom_site_type_symbol
_atom_site_fract_x
_atom_site_fract_y
_atom_site_fract_z
Tb1 Tb 0.000 0.000 0.000
Pm1 Pm 0.500 0.250 0.500
Pm2 Pm 0.500 0.750 0.500
Ir1 Ir 0.000 0.500 0.000
O1 O 0.179 0.291 0.822
O2 O 0.179 0.709 0.822
O3 O 0.260 0.500 0.262
O4 O 0.304 0.000 0.305
O5 O 0.696 0.000 0.695
O6 O 0.740 0.500 0.738
O7 O 0.821 0.291 0.178
O8 O 0.821 0.709 0.178
```

## Properties
Uncorrected formation energy ... -2.278 eV/atom
Space group ... No. 10


Density functional theory data (GGA-PBE) for a geometry-optimized Ac2PPd3 structure.

Geometry as CIF:
```
data_Ac2PPd3
_chemical_formula_sum 'Ac2 P1 Pd3'
_cell_length_a 4.156
_cell_length_b 4.408
_cell_length_c 7.802
_cell_angle_alpha 90.00
_cell_angle_beta 90.00
_cell_angle_gamma 90.00
_symmetry_space_group_name_H-M 'P 1'
_symmetry_Int_Tables_number 1
_symmetry_space_group_name_Hall 'P 1'
loop_
_atom_site_label
_atom_site_type_symbol
_atom_site_fract_x
_atom_site_fract_y
_atom_site_fract_z
Ac1 Ac 0.000 0.000 0.000
Ac2 Ac 0.000 0.500 0.496
P1 P 0.500 0.000 0.317
Pd1 Pd 0.500 0.000 0.630
Pd2 Pd 0.500 0.500 0.188
Pd3 Pd 0.500 0.500 0.833
```

## Properties
Offset from the most stable computed form ... 0.00 kJ/mol of atoms
Energy of formation ... -5.9 eV/f.u.
Space group ... No. 25


Density functional theory data (GGA-PBE) for a geometry-optimized LaIr2Os structure.

Geometry as CIF:
```
data_LaIr2Os
_chemical_formula_sum 'La1 Ir2 Os1'
_cell_length_a 9.896
_cell_length_b 9.896
_cell_length_c 9.896
_cell_angle_alpha 16.61
_cell_angle_beta 16.61
_cell_angle_gamma 16.61
_symmetry_space_group_name_H-M 'P 1'
_symmetry_Int_Tables_number 1
_symmetry_space_group_name_Hall 'P 1'
loop_
_atom_site_label
_atom_site_type_symbol
_atom_site_fract_x
_atom_site_fract_y
_atom_site_fract_z
La1 La 0.000 0.000 0.000
Ir1 Ir 0.239 0.239 0.239
Ir2 Ir 0.761 0.761 0.761
Os1 Os 0.500 0.500 0.500
```

## Properties
Offset from the most stable computed form ... 34.32 kJ/mol of atoms
Energy of formation ... 1.6 eV/f.u.
Space group ... No. 166


Density functional theory data (GGA-PBE) for a geometry-optimized AcSiPd6Au structure.

Geometry as CIF:
```
data_AcSiPd6Au
_chemical_formula_sum 'Ac2 Si2 Pd12 Au2'
_cell_length_a 8.508
_cell_length_b 8.508
_cell_length_c 8.508
_cell_angle_alpha 140.60
_cell_angle_beta 111.48
_cell_angle_gamma 82.02
_symmetry_space_group_name_H-M 'P 1'
_symmetry_Int_Tables_number 1
_symmetry_space_group_name_Hall 'P 1'
loop_
_atom_site_label
_atom_site_type_symbol
_atom_site_fract_x
_atom_site_fract_y
_atom_site_fract_z
Ac1 Ac 0.412 0.162 0.250
Ac2 Ac 0.588 0.838 0.750
Si1 Si 0.000 0.500 0.500
Si2 Si 0.500 0.500 0.000
Pd1 Pd 0.127 0.386 0.237
Pd2 Pd 0.127 0.890 0.741
Pd3 Pd 0.187 0.937 0.250
Pd4 Pd 0.309 0.559 0.750
Pd5 Pd 0.351 0.110 0.737
Pd6 Pd 0.351 0.614 0.241
Pd7 Pd 0.649 0.386 0.759
Pd8 Pd 0.649 0.890 0.263
Pd9 Pd 0.691 0.441 0.250
Pd10 Pd 0.813 0.063 0.750
Pd11 Pd 0.873 0.110 0.259
Pd12 Pd 0.873 0.614 0.763
Au1 Au 0.000 0.000 0.500
Au2 Au 0.000 0.500 0.000
```

## Properties
Uncorrected formation energy ... -0.299 eV/atom
Space group ... No. 74


Density functional theory data (GGA-PBE) for a geometry-optimized CeGdDyZn structure.

Geometry as CIF:
```
data_CeGdDyZn
_chemical_formula_sum 'Ce1 Gd1 Dy1 Zn1'
_cell_length_a 5.289
_cell_length_b 5.289
_cell_length_c 5.289
_cell_angle_alpha 60.00
_cell_angle_beta 60.00
_cell_angle_gamma 60.00
_symmetry_space_group_name_H-M 'P 1'
_symmetry_Int_Tables_number 1
_symmetry_space_group_name_Hall 'P 1'
loop_
_atom_site_label
_atom_site_type_symbol
_atom_site_fract_x
_atom_site_fract_y
_atom_site_fract_z
Ce1 Ce 0.000 0.000 0.000
Gd1 Gd 0.750 0.750 0.750
Dy1 Dy 0.250 0.250 0.250
Zn1 Zn 0.500 0.500 0.500
```

## Properties
Energy of formation ... 0.4 eV/f.u.
Space group ... No. 216


Density functional theory data (GGA-PBE) for a geometry-optimized DyCd6Ag2 structure.

Geometry as CIF:
```
data_DyCd6Ag2
_chemical_formula_sum 'Dy2 Cd12 Ag4'
_cell_length_a 9.466
_cell_length_b 9.466
_cell_length_c 4.833
_cell_angle_alpha 90.00
_cell_angle_beta 90.00
_cell_angle_gamma 71.15
_symmetry_space_group_name_H-M 'P 1'
_symmetry_Int_Tables_number 1
_symmetry_space_group_name_Hall 'P 1'
loop_
_atom_site_label
_atom_site_type_symbol
_atom_site_fract_x
_atom_site_fract_y
_atom_site_fract_z
Dy1 Dy 0.208 0.792 0.750
Dy2 Dy 0.792 0.208 0.250
Cd1 Cd 0.029 0.180 0.750
Cd2 Cd 0.047 0.375 0.250
Cd3 Cd 0.180 0.029 0.250
Cd4 Cd 0.262 0.552 0.250
Cd5 Cd 0.375 0.047 0.750
Cd6 Cd 0.448 0.738 0.250
Cd7 Cd 0.552 0.262 0.750
Cd8 Cd 0.625 0.953 0.250
Cd9 Cd 0.738 0.448 0.750
Cd10 Cd 0.820 0.971 0.750
Cd11 Cd 0.953 0.625 0.750
Cd12 Cd 0.971 0.820 0.250
Ag1 Ag 0.235 0.393 0.750
Ag2 Ag 0.393 0.235 0.250
Ag3 Ag 0.607 0.765 0.750
Ag4 Ag 0.765 0.607 0.250
```

## Properties
Offset from the most stable computed form ... 0.00 kJ/mol of atoms
Energy of formation ... -0.9 eV/f.u.
Space group ... No. 63


Density functional theory data (GGA-PBE) for a geometry-optimized Mg5Si6 structure.

Geometry as CIF:
```
data_Mg5Si6
_chemical_formula_sum 'Mg10 Si12'
_cell_length_a 3.927
_cell_length_b 6.901
_cell_length_c 15.738
_cell_angle_alpha 79.71
_cell_angle_beta 82.89
_cell_angle_gamma 89.98
_symmetry_space_group_name_H-M 'P 1'
_symmetry_Int_Tables_number 1
_symmetry_space_group_name_Hall 'P 1'
loop_
_atom_site_label
_atom_site_type_symbol
_atom_site_fract_x
_atom_site_fract_y
_atom_site_fract_z
Mg1 Mg 0.000 0.000 0.000
Mg2 Mg 0.036 0.570 0.926
Mg3 Mg 0.194 0.524 0.622
Mg4 Mg 0.265 0.198 0.471
Mg5 Mg 0.304 0.714 0.398
Mg6 Mg 0.461 0.659 0.078
Mg7 Mg 0.641 0.760 0.742
Mg8 Mg 0.732 0.852 0.538
Mg9 Mg 0.890 0.785 0.223
Mg10 Mg 0.927 0.313 0.143
Si1 Si 0.101 0.345 0.795
Si2 Si 0.152 0.103 0.699
Si3 Si 0.367 0.098 0.268
Si4 Si 0.373 0.468 0.254
Si5 Si 0.438 0.017 0.126
Si6 Si 0.491 0.310 0.015
Si7 Si 0.547 0.849 0.905
Si8 Si 0.562 0.203 0.874
Si9 Si 0.698 0.187 0.606
Si10 Si 0.755 0.486 0.496
Si11 Si 0.820 0.032 0.362
Si12 Si 0.825 0.408 0.350
```

## Properties
Uncorrected formation energy ... 0.059 eV/atom
Offset from the most stable computed form ... 3.22 kJ/mol of atoms
Space group ... No. 1